[1]
18
Lattice="-5.626 -1.691 2.867 3.214 -1.298 5.541 0.468 6.774 -2.539" Properties=species:S:1:pos:R:3 comment="ThPa2CrN5, optimized geometry, DFT PBE" vol_a3_per_cell=238.61 sg="I4/mcm, No. 140" crystal_system=tetragonal final_energy_ev_per_atom=-9.970 e_form_raw_ev_per_atom=-1.341 pbc="T T T"
Th -0.369 2.640 0.832
Th -1.575 1.145 5.037
Pa 0.096 -0.716 2.314
Pa -3.225 -1.356 2.871
Pa 0.814 -1.633 5.538
Pa -2.507 -2.273 6.095
Cr 1.238 1.991 3.603
Cr -3.182 1.795 2.266
N -3.859 -0.402 4.826
N -2.977 3.406 1.352
N 1.915 4.187 1.043
N -0.793 4.505 -1.167
N -0.268 3.088 3.561
N -1.151 -0.720 7.036
N -1.675 0.697 2.308
N 1.033 0.379 4.517
N -1.206 -1.494 4.204
N 0.000 0.000 0.000

=====

[2]
16
Lattice="-1.164 1.790 -2.291 -3.433 -4.469 0.394 -5.828 5.089 6.938" Properties=species:S:1:pos:R:3 comment="PaTi2CrN4, optimized geometry, DFT PBE" vol_a3_per_cell=176.66 sg="Cmcm, No. 63" crystal_system=orthorhombic final_energy_ev_per_atom=-9.811 e_form_raw_ev_per_atom=-1.285 pbc="T T T"
Pa -5.205 3.075 5.047
Pa -5.221 -0.665 -0.007
Ti -6.176 0.126 3.237
Ti -1.886 0.220 -1.011
Ti -4.250 2.284 1.803
Ti -8.540 2.191 6.051
Cr -7.708 2.260 3.542
Cr -2.717 0.150 1.499
N -2.861 -1.354 0.396
N -6.003 2.401 2.786
N -7.565 3.764 4.645
N -4.423 0.009 2.255
N -2.914 2.545 3.469
N 0.000 0.000 0.000
N -7.944 0.637 4.535
N -2.481 1.774 0.506

=====

[3]
11
Lattice="-4.806 2.244 -0.113 -3.812 -2.047 -3.070 -4.496 -3.200 3.133" Properties=species:S:1:pos:R:3 comment="Pa2TiCr2N6, optimized geometry, DFT PBE" vol_a3_per_cell=135.46 sg="R-3m, No. 166" crystal_system=trigonal final_energy_ev_per_atom=-9.518 e_form_raw_ev_per_atom=-0.783 pbc="T T T"
Pa -9.636 -1.851 -0.553
Pa -3.478 -1.152 0.503
Ti 0.000 0.000 0.000
Cr -7.100 -2.595 1.380
Cr -6.013 -0.408 -1.429
N -7.710 -0.771 -1.472
N -5.202 -1.943 -1.413
N -5.720 0.297 0.130
N -7.393 -3.300 -0.180
N -7.912 -1.060 1.364
N -5.403 -2.231 1.423

=====

no.,total magnetic moment (μB/atom)
1,0.103
2,0.000
3,0.003